Record 1
The following is a DFT calculation (PBE) of a relaxed MgTc2Sb crystal.

The space group is P2/m (No. 10) and the conventional cell measures 3.051, 4.472 and 5.187 Å, with angles of 90.00, 94.40 and 90.00 degrees. The distinct sites, in fractional coordinates, are Mg at (0.000, 0.000, 0.000), Tc at (0.336, 0.500, 0.777) and Sb at (0.500, 0.000, 0.500).

The value obtained for the formation energy (no corrections) is 0.312 eV/atom. For the density of states at the Fermi level, the calculation gives 4.00 states/eV per cell. The calculation puts the offset from the most stable computed form at 0.265 eV per atom. The total energy is -6.30 eV/atom.

Record 2
The following is a DFT calculation (PBE) of a relaxed LiLa2Rh crystal.

The space group is F-43m (No. 216) and the conventional cell measures 7.057, 7.057 and 7.057 Å, with angles of 90.00, 90.00 and 90.00 degrees. The distinct sites, in fractional coordinates, are Li at (0.000, 0.000, 0.000), La at (0.000, 0.000, 0.500), La at (0.250, 0.250, 0.250) and Rh at (0.250, 0.250, 0.750).

For the density of states at the Fermi level, the calculation gives 14.45 states/eV per cell. The total energy is -4.99 eV/atom. The energy relative to the elements comes out at -0.208 eV/atom.

Please write out number 1 again, unchanged.
The following is a DFT calculation (PBE) of a relaxed MgTc2Sb crystal.

The space group is P2/m (No. 10) and the conventional cell measures 3.051, 4.472 and 5.187 Å, with angles of 90.00, 94.40 and 90.00 degrees. The distinct sites, in fractional coordinates, are Mg at (0.000, 0.000, 0.000), Tc at (0.336, 0.500, 0.777) and Sb at (0.500, 0.000, 0.500).

The value obtained for the formation energy (no corrections) is 0.312 eV/atom. For the density of states at the Fermi level, the calculation gives 4.00 states/eV per cell. The calculation puts the offset from the most stable computed form at 0.265 eV per atom. The total energy is -6.30 eV/atom.